No. 1
In2Ag3Au8: relaxed, PBE.

Properties
**Calculated formation energy**: 0.035 eV per atom
**Relative energy among the computed polymorphs**: 1.05 eV per formula unit

Cell lengths 5.5059, 5.5059, 10.6975 Å; angles 75.09, 75.09, 60.00 degrees
With the nearest neighbours (Å) after each atom.
Fractional coordinates of all 13 atoms:
Ag  0.0000  0.0000  0.0000  6 In 3.30, 12 Au 3.60-3.63
Ag  0.1843  0.1843  0.4471  10 Au 2.81-3.06
Ag  0.8157  0.8157  0.5529  10 Au 2.81-3.06
Au  0.2261  0.7285  0.3170  4 Au 2.74-2.77, 1 In 2.85, 3 Ag 2.88-3.06
Au  0.7739  0.2715  0.6830  4 Au 2.74-2.77, 1 In 2.85, 3 Ag 2.88-3.06
Au  0.2759  0.2759  0.1723  1 In 2.64, 1 Ag 2.81
Au  0.7241  0.7241  0.8277  1 In 2.64, 1 Ag 2.81
Au  0.7285  0.7285  0.3170  4 Au 2.74-2.77, 1 In 2.85, 3 Ag 2.88-3.06
Au  0.2715  0.2715  0.6830  4 Au 2.74-2.77, 1 In 2.85, 3 Ag 2.88-3.06
Au  0.7285  0.2261  0.3170  4 Au 2.74-2.77, 1 In 2.85, 3 Ag 2.88-3.06
Au  0.2715  0.7739  0.6830  4 Au 2.74-2.77, 1 In 2.85, 3 Ag 2.88-3.06
In  0.6378  0.6378  0.0865  4 Au 2.64-2.85
In  0.3622  0.3622  0.9135  4 Au 2.64-2.85

***

No. 2
CeNdCo2: relaxed, PBE.

Properties
**Calculated formation energy**: -0.166 eV per atom
**Relative energy among the computed polymorphs**: 0.17 eV per formula unit

Cell lengths 4.2649, 4.2649, 5.7358 Å; angles 68.17, 68.17, 60.00 degrees
With the nearest neighbours (Å) after each atom.
Fractional coordinates of all 4 atoms:
Co  0.2936  0.2936  0.1191  3 Ce 2.54, 3 Co 2.75
Co  0.7064  0.7064  0.8809  3 Ce 2.54, 3 Co 2.75
Ce  0.0000  0.0000  0.0000  6 Co 2.54
Nd  0.5000  0.5000  0.5000  8 Co 3.16-3.21

***

No. 3
MgPd6Pt2: relaxed, PBE.

Properties
**Calculated formation energy**: -0.248 eV per atom
**Relative energy among the computed polymorphs**: 0.09 eV per formula unit

Cell lengths 4.8225, 6.2306, 6.8310 Å; angles 69.31, 62.22, 50.36 degrees
With the nearest neighbours (Å) after each atom.
Fractional coordinates of all 9 atoms:
Pd  0.6708  0.8316  0.8271  1 Mg 2.75, 3 Pt 2.75-2.79, 8 Pd 2.79-2.86
Pd  0.4427  0.3883  0.7239  7 Pd 2.77-2.83, 3 Pt 2.78-2.82, 2 Mg 2.79-2.80
Pd  0.5573  0.6117  0.2761  7 Pd 2.77-2.83, 3 Pt 2.78-2.82, 2 Mg 2.79-2.80
Pd  0.3292  0.1684  0.1729  1 Mg 2.75, 3 Pt 2.75-2.79, 8 Pd 2.79-2.86
Pd  0.1118  0.7256  0.0505  9 Pd 2.77-2.82, 2 Pt 2.80-2.81, 1 Mg 2.84
Pd  0.8882  0.2744  0.9495  9 Pd 2.77-2.82, 2 Pt 2.80-2.81, 1 Mg 2.84
Pt  0.7781  0.0533  0.3926  8 Pd 2.75-2.82, 2 Pt 2.76-2.78, 2 Mg 2.79-2.81
Pt  0.2219  0.9467  0.6074  8 Pd 2.75-2.82, 2 Pt 2.76-2.78, 2 Mg 2.79-2.81
Mg  0.0000  0.5000  0.5000  8 Pd 2.75-2.84, 4 Pt 2.79-2.81

***

No. 4
BaAgCl2: relaxed, PBE.

Properties
**Relative energy among the computed polymorphs**: 1.62 eV per formula unit

Cell lengths 8.9480, 8.9480, 8.9480 Å; angles 28.13, 28.13, 28.13 degrees
With the nearest neighbours (Å) after each atom.
Fractional coordinates of all 4 atoms:
Cl  0.1141  0.1141  0.1141  3 Ag 2.85, 1 Ba 2.94
Cl  0.8859  0.8859  0.8859  3 Ag 2.85, 1 Ba 2.94
Ag  0.5000  0.5000  0.5000  6 Cl 2.85
Ba  0.0000  0.0000  0.0000  2 Cl 2.94

***

No. 5
Ce2TlP: relaxed, PBE.

Properties
**Calculated formation energy**: -0.730 eV per atom
**Relative energy among the computed polymorphs**: 0.25 eV per formula unit

Cell lengths 3.4981, 3.4981, 8.1608 Å; angles 90.00, 90.00, 90.00 degrees
With the nearest neighbours (Å) after each atom.
Fractional coordinates of all 4 atoms:
Ce  0.0000  0.0000  0.2031  4 P 2.98, 1 Ce 3.31
Ce  0.0000  0.0000  0.7969  4 P 2.98, 1 Ce 3.31
Tl  0.5000  0.5000  0.5000  8 Ce 3.46, 4 Tl 3.50
P  0.5000  0.5000  0.0000  8 Ce 2.98

***

No. 6
GaNiS: relaxed, PBE.

Cell lengths 5.1277, 5.7684, 6.3488 Å; angles 90.00, 90.00, 90.00 degrees
With the nearest neighbours (Å) after each atom.
Fractional coordinates of all 12 atoms:
S  0.9930  0.9306  0.3509  4 Ni 2.26-2.35
S  0.9930  0.4306  0.6491  4 Ni 2.26-2.35
S  0.4930  0.5694  0.3509  4 Ni 2.26-2.35
S  0.4930  0.0694  0.6491  4 Ni 2.26-2.35
Ga  0.4930  0.6203  0.9469  1 S 2.58, 2 Ni 2.58
Ga  0.9930  0.3797  0.0531  1 S 2.58, 2 Ni 2.58
Ga  0.4930  0.1203  0.0531  1 S 2.58, 2 Ni 2.58
Ga  0.9930  0.8797  0.9469  1 S 2.58, 2 Ni 2.58
Ni  0.2430  0.2500  0.3863  4 S 2.26-2.35
Ni  0.7430  0.7500  0.6137  4 S 2.26-2.35
Ni  0.2430  0.7500  0.6137  4 S 2.26-2.35
Ni  0.7430  0.2500  0.3863  4 S 2.26-2.35

***

No. 7
BaRe2Ag: relaxed, PBE.

Properties
**Calculated formation energy**: 1.235 eV per atom
**Relative energy among the computed polymorphs**: 2.81 eV per formula unit

Cell lengths 5.6047, 2.9182, 5.2355 Å; angles 85.50, 90.00, 90.00 degrees
With the nearest neighbours (Å) after each atom.
Fractional coordinates of all 4 atoms:
Ag  0.5000  0.2500  0.2500  4 Ba 2.90-3.10, 2 Ag 2.92, 4 Re 3.18
Re  0.0000  0.1093  0.9794  1 Re 2.48
Re  0.0000  0.3907  0.5206  1 Re 2.48
Ba  0.5000  0.7500  0.7500  4 Ag 2.90-3.10, 2 Ba 2.92

***

No. 8
Na3Ag2WSe6: relaxed, PBE.

Cell lengths 7.1282, 7.1282, 6.8906 Å; angles 98.02, 98.02, 122.50 degrees
With the nearest neighbours (Å) after each atom.
Fractional coordinates of all 12 atoms:
Se  0.0858  0.3867  0.2063  2 Ag 2.61-2.91, 1 W 2.62
Se  0.7983  0.7983  0.2381  1 W 2.43
Se  0.9142  0.6133  0.7937  2 Ag 2.61-2.91, 1 W 2.62
Se  0.2017  0.2017  0.7619  1 W 2.43
Se  0.6133  0.9142  0.7937  2 Ag 2.61-2.91, 1 W 2.62
Se  0.3867  0.0858  0.2063  2 Ag 2.61-2.91, 1 W 2.62
Na  0.5000  0.5000  0.5000  6 Se 2.96-3.10
Na  0.1899  0.8101  0.5000  6 Se 2.98-3.06
Na  0.8101  0.1899  0.5000  6 Se 2.98-3.06
Ag  0.3324  0.6676  0.0000  4 Se 2.61-2.91
Ag  0.6676  0.3324  0.0000  4 Se 2.61-2.91
W  0.0000  0.0000  0.0000  6 Se 2.43-2.62

***

Record order is preserved below.
E_tot: -3.06; -6.39; -5.23; -3.03; -5.64; -4.53; -6.18; -4.06 eV per atom